(1)
LiGa6Cl12: optimized geometry, GGA-PBE.

## Properties
**Formation energy from raw total energies**: -16.9 eV/f.u.

The structure in POSCAR format:
```
LiGa6Cl12
1.0
8.4871 4.9000 2.8068
-8.4871 4.9000 2.8068
0.0000 -9.8000 2.8068
Li Ga Cl
1 6 12
direct
0.0000 0.0000 0.0000
0.3094 0.5734 0.3874
0.3874 0.3094 0.5734
0.4266 0.6126 0.6906
0.5734 0.3874 0.3094
0.6126 0.6906 0.4266
0.6906 0.4266 0.6126
0.0587 0.3098 0.1244
0.1244 0.0587 0.3098
0.2090 0.5444 0.7095
0.2905 0.7910 0.4556
0.3098 0.1244 0.0587
0.4556 0.2905 0.7910
0.5444 0.7095 0.2090
0.6902 0.8756 0.9413
0.7095 0.2090 0.5444
0.7910 0.4556 0.2905
0.8756 0.9413 0.6902
0.9413 0.6902 0.8756
```

(2)
Ba2SnHgH: optimized geometry, GGA-PBE.

## Properties
**Final energy**: -13.72 eV/cell

The structure in POSCAR format:
```
Ba2SnHgH
1.0
5.5014 0.0000 0.0000
0.0000 5.5014 0.0000
0.0000 0.0000 4.9209
Ba Sn Hg H
2 1 1 1
direct
0.0000 0.5000 0.0000
0.5000 0.0000 0.0000
0.0000 0.0000 0.5000
0.5000 0.5000 0.5000
0.5000 0.5000 0.0000
```

(3)
Cd12HgAu6: optimized geometry, GGA-PBE.

## Properties
**Final energy**: -31.98 eV/cell

The structure in POSCAR format:
```
Cd12HgAu6
1.0
6.2862 3.6293 3.6534
-6.2862 3.6293 3.6534
0.0000 -7.2586 3.6534
Cd Hg Au
12 1 6
direct
0.0256 0.3228 0.8869
0.1131 0.9744 0.6772
0.1769 0.5888 0.4482
0.3228 0.8869 0.0256
0.4112 0.5518 0.8231
0.4482 0.1769 0.5888
0.5518 0.8231 0.4112
0.5888 0.4482 0.1769
0.6772 0.1131 0.9744
0.8231 0.4112 0.5518
0.8869 0.0256 0.3228
0.9744 0.6772 0.1131
0.0000 0.0000 0.0000
0.1391 0.2908 0.5736
0.2908 0.5736 0.1391
0.4264 0.8609 0.7092
0.5736 0.1391 0.2908
0.7092 0.4264 0.8609
0.8609 0.7092 0.4264
```